{
  "formula": "Mg2AlPb",
  "functional": "PBE-GGA",
  "state": "optimized geometry",
  "lattice_angstrom": [[-1.5858, 4.5073, -2.3615], [-1.3506, -4.0280, -3.2183], [-3.0019, -0.2393, 1.5593]],
  "species": ["Pb", "Mg", "Mg", "Al"],
  "fractional_positions": [[0.5000, 0.0000, 0.5000], [0.0000, 0.0000, 0.0000], [0.5000, 0.5000, 0.0000], [0.0000, 0.5000, 0.5000]],
  "space_group": "Cmmm",
  "ef_mev_per_atom": 40,
  "density_g_cm3": 5.10
}